Below is a geometry-optimized BeHgBrO2 structure, with properties calculated at the PBEsol level.

POSCAR file:
```
BeHgBrO2
1.0
-2.079 -1.555 2.722
1.623 -3.328 -0.662
4.283 1.292 4.009
Hg O Be Br
1 2 1 1
Direct
0.000 0.000 0.500
0.000 0.500 0.000
0.500 0.000 0.000
0.500 0.500 0.500
0.000 0.000 0.000
```

* ΔE_f (raw): 69.8 kJ per mole of atoms
* M_tot: 0.0 μB/cell
* volume: 85.0 Å³ per cell
* DOS at the Fermi energy: 1.559 states/eV/f.u.